Record 1
8
Lattice="7.424 0.000 0.000 0.000 7.424 0.000 3.712 3.712 2.940" Properties=species:S:1:pos:R:3 comment="Cr2SnAu, relaxed, DFT PBE" formation_enthalpy_0k_kcal_per_mol_atoms=13.04 sg="I-42d (122)" pbc="T T T"
Cr 5.626 1.856 0.735
Cr 1.798 5.568 0.735
Cr 5.568 5.510 2.205
Cr 9.280 9.338 2.205
Au 0.000 0.000 0.000
Au 7.424 3.712 1.470
Sn 3.712 3.712 0.000
Sn 3.712 7.424 1.470

***

Record 2
24
Lattice="7.895 0.094 -1.478 -2.967 7.317 -1.478 -0.092 -0.138 14.380" Properties=species:S:1:pos:R:3 comment="Ac2YTe3, relaxed, DFT PBE" sg="Fddd (70)" formation_energy_uncorrected_ev_per_atom=-1.420 pbc="T T T"
Ac 6.306 3.594 12.090
Ac 1.995 3.001 10.852
Ac 5.511 2.398 7.763
Ac 1.200 1.804 6.525
Ac 3.637 5.469 4.900
Ac 4.757 1.264 3.662
Ac 2.841 4.273 0.573
Ac 3.961 0.067 -0.665
Y 4.445 6.685 9.296
Y 0.094 6.031 7.841
Y -0.689 4.854 3.584
Y 0.391 0.589 2.129
Te -0.804 4.893 10.619
Te 4.720 0.996 10.681
Te 0.414 0.411 9.474
Te 2.786 4.402 7.934
Te -1.419 3.755 6.385
Te 0.824 7.130 5.040
Te 1.854 3.001 3.491
Te 4.618 6.732 1.951
Te 5.743 2.536 0.744
Te 0.013 6.122 0.806
Te 1.122 1.687 -0.673
Te 3.806 5.724 -2.283

***

Record 3
16
Lattice="-0.686 -1.270 5.791 -2.523 -6.496 -1.724 10.132 -4.019 0.318" Properties=species:S:1:pos:R:3 comment="Nd3ErSc4, relaxed, DFT PBE" formation_enthalpy_0k_kcal_per_mol_atoms=1.23 sg="Pmn2_1 (31)" pbc="T T T"
Nd -1.950 -4.779 1.750
Nd 0.839 -5.327 -0.238
Nd 1.177 -4.158 3.133
Nd 3.476 -5.614 5.285
Nd 6.260 -6.174 3.293
Nd 5.888 -7.329 -0.080
Er -1.585 -3.589 5.150
Er 3.106 -6.812 1.923
Sc -2.921 -7.037 4.141
Sc -0.601 -1.308 2.602
Sc 2.134 -1.883 0.747
Sc -0.136 -7.633 2.291
Sc 2.141 -9.056 4.303
Sc 4.463 -3.325 2.755
Sc 4.879 -9.622 2.449
Sc 7.251 -3.912 0.907